[1]
MgCrCd3 | PBE | optimized geometry

Unit cell a=5.267 b=5.267 c=5.267 alpha=90.00 beta=90.00 gamma=90.00
Site moments in Bohr magnetons follow the coordinates.
Atoms (fractional coordinates):
Mg 0.500 0.500 0.500  0.01
Cd 0.000 0.500 0.000  0.04
Cd 0.000 0.000 0.500  0.03
Cd 0.500 0.000 0.000  0.04
Cr 0.000 0.000 0.000  3.77

Output
Energy relative to the elements: 0.61 eV/atom
Crystal system: cubic
Magnetization: 0.89 μB per atom
ΔE to the lowest computed polymorph: 0 meV per atom
VASP energy: -0.161 Ry per atom


[2]
Na4TiRh3S8 | PBE | optimized geometry

Unit cell a=7.261 b=7.648 c=7.262 alpha=118.37 beta=120.00 gamma=90.00
Site moments in Bohr magnetons follow the coordinates.
Atoms (fractional coordinates):
Na 0.500 0.000 0.000  0.00
Na 0.500 0.000 0.500  0.00
Na 0.000 0.000 0.000  0.00
Na 0.000 0.000 0.500  0.00
S 0.236 0.697 0.962  -0.01
S 0.764 0.303 0.529  -0.01
S 0.236 0.697 0.471  -0.01
S 0.764 0.303 0.038  -0.01
S 0.729 0.688 0.459  0.01
S 0.726 0.697 0.962  -0.01
S 0.271 0.312 0.541  0.01
S 0.274 0.303 0.038  -0.01
Rh 0.500 0.500 0.500  0.05
Rh 0.000 0.500 0.500  0.05
Rh 0.500 0.500 0.000  0.05
Ti 0.000 0.500 0.000  0.54

Output
Crystal system: trigonal
Magnetization: 0.05 μB per atom
ΔE_f (raw): -0.867 eV/atom
VASP energy: -0.377 Ry per atom


[3]
GdHo2Er | PBE | optimized geometry

Unit cell a=4.998 b=4.992 c=4.992 alpha=90.00 beta=90.00 gamma=90.00
Site moments in Bohr magnetons follow the coordinates.
Atoms (fractional coordinates):
Gd 0.500 0.000 0.000  7.13
Er 0.500 0.500 0.500  -0.06
Ho 0.000 0.500 0.000  -0.06
Ho 0.000 0.000 0.500  -0.06

Output
Energy relative to the elements: 0.02 eV/atom
Crystal system: tetragonal
Magnetization: 1.77 μB per atom
ΔE to the lowest computed polymorph: 0 meV per atom
VASP energy: -0.509 Ry per atom


[4]
Ba2MgTlF | PBE | optimized geometry

Unit cell a=5.939 b=5.939 c=4.523 alpha=90.00 beta=90.00 gamma=90.00
Atoms (fractional coordinates):
Tl 0.500 0.500 0.500
Ba 0.500 0.000 0.000
Ba 0.000 0.500 0.000
F 0.000 0.000 0.000
Mg 0.000 0.000 0.500

Output
Crystal system: tetragonal
Magnetization: 0.00 μB per atom
ΔE_f (raw): -1.159 eV/atom
VASP energy: -0.227 Ry per atom


[5]
Tl2FeIr | PBE | optimized geometry

Unit cell a=4.821 b=4.821 c=3.169 alpha=90.00 beta=90.00 gamma=90.12
Site moments in Bohr magnetons follow the coordinates.
Atoms (fractional coordinates):
Tl 0.500 0.500 0.000  -0.04
Tl 0.000 0.000 0.000  -0.04
Fe 0.500 0.000 0.500  2.62
Ir 0.000 0.500 0.500  -0.09

Output
Energy relative to the elements: 0.66 eV/atom
Crystal system: orthorhombic
Magnetization: 0.60 μB per atom
ΔE to the lowest computed polymorph: 311 meV per atom
VASP energy: -0.356 Ry per atom


[6]
SrPaIr4 | PBE | optimized geometry

Unit cell a=5.407 b=5.407 c=5.407 alpha=60.00 beta=60.00 gamma=60.00
Atoms (fractional coordinates):
Ir 0.625 0.625 0.625
Ir 0.625 0.625 0.126
Ir 0.625 0.126 0.625
Ir 0.126 0.625 0.625
Pa 0.000 0.000 0.000
Sr 0.250 0.250 0.250

Output
Energy relative to the elements: -0.51 eV/atom
Crystal system: cubic
Magnetization: 0.00 μB per atom
VASP energy: -0.609 Ry per atom


[7]
CdHgTe2 | PBE | optimized geometry

Unit cell a=7.615 b=4.387 c=4.387 alpha=121.49 beta=107.58 gamma=72.42
Atoms (fractional coordinates):
Cd 0.500 0.500 0.500
Te 0.743 0.726 0.274
Te 0.257 0.274 0.726
Hg 0.000 0.000 0.000

Output
Crystal system: monoclinic
Magnetization: 0.00 μB per atom
ΔE_f (raw): -0.143 eV/atom
ΔE to the lowest computed polymorph: 169 meV per atom
VASP energy: -0.148 Ry per atom


[8]
HoMg3Hg4 | PBE | optimized geometry

Unit cell a=4.945 b=4.945 c=8.863 alpha=73.80 beta=73.80 gamma=60.00
Atoms (fractional coordinates):
Mg 0.500 0.500 0.500
Mg 0.249 0.249 0.253
Mg 0.751 0.751 0.747
Hg 0.873 0.873 0.380
Hg 0.380 0.380 0.860
Hg 0.620 0.620 0.140
Hg 0.127 0.127 0.620
Ho 0.000 0.000 0.000

Output
Energy relative to the elements: -0.32 eV/atom
Crystal system: trigonal
Magnetization: 0.00 μB per atom
VASP energy: -0.121 Ry per atom


[9]
AcTb6Dy4 | PBE | optimized geometry

Unit cell a=5.849 b=5.662 c=25.665 alpha=90.00 beta=90.00 gamma=121.10
Atoms (fractional coordinates):
Dy 0.848 0.697 0.958
Dy 0.455 0.911 0.122
Dy 0.545 0.089 0.622
Dy 0.545 0.089 0.878
Dy 0.848 0.697 0.542
Dy 0.152 0.303 0.458
Dy 0.152 0.303 0.042
Dy 0.455 0.911 0.378
Tb 0.500 0.000 0.500
Tb 0.456 0.911 0.250
Tb 0.544 0.089 0.750
Tb 0.874 0.749 0.679
Tb 0.201 0.401 0.598
Tb 0.201 0.401 0.902
Tb 0.126 0.251 0.321
Tb 0.799 0.599 0.098
Tb 0.874 0.749 0.821
Tb 0.799 0.599 0.402
Tb 0.500 0.000 0.000
Tb 0.126 0.251 0.179
Ac 0.206 0.412 0.750
Ac 0.794 0.588 0.250

Output
Energy relative to the elements: 0.14 eV/atom
Crystal system: orthorhombic
Magnetization: 0.00 μB per atom
VASP energy: -0.326 Ry per atom


[10]
BMoH2 | PBE | optimized geometry

Unit cell a=3.198 b=3.198 c=6.186 alpha=75.02 beta=75.02 gamma=90.00
Atoms (fractional coordinates):
Mo 0.000 0.000 0.000
Mo 0.750 0.250 0.500
H 0.154 0.625 0.250
H 0.596 0.125 0.250
H 0.875 0.846 0.750
H 0.375 0.404 0.750
B 0.250 0.750 0.500
B 0.500 0.500 0.000

Output
Crystal system: tetragonal
Magnetization: 0.00 μB per atom
ΔE to the lowest computed polymorph: 0 meV per atom
VASP energy: -0.415 Ry per atom


[11]
InIrOs | PBE | optimized geometry

Unit cell a=4.993 b=4.993 c=4.993 alpha=146.61 beta=133.72 gamma=58.26
Atoms (fractional coordinates):
Os 0.679 0.679 0.000
In 0.000 0.000 0.000
Ir 0.321 0.321 0.000

Output
Energy relative to the elements: 0.44 eV/atom
Crystal system: orthorhombic
Magnetization: 0.00 μB per atom
ΔE to the lowest computed polymorph: 227 meV per atom
VASP energy: -0.527 Ry per atom


[12]
CaGa2AgAu4 | PBE | optimized geometry

Unit cell a=4.490 b=4.490 c=9.566 alpha=76.43 beta=76.43 gamma=60.00
Atoms (fractional coordinates):
Au 0.396 0.396 0.813
Au 0.123 0.123 0.631
Au 0.604 0.604 0.187
Au 0.877 0.877 0.369
Ag 0.500 0.500 0.500
Ga 0.247 0.247 0.259
Ga 0.753 0.753 0.741
Ca 0.000 0.000 0.000

Output
Energy relative to the elements: -0.32 eV/atom
Crystal system: trigonal
Magnetization: 0.00 μB per atom
VASP energy: -0.244 Ry per atom


[13]
Cs3RbAg3 | PBE | optimized geometry

Unit cell a=10.297 b=10.297 c=10.297 alpha=90.00 beta=90.00 gamma=90.00
Atoms (fractional coordinates):
Rb 0.000 0.000 0.000
Rb 0.500 0.500 0.500
Cs 0.500 0.000 0.250
Cs 0.250 0.500 0.000
Cs 0.750 0.500 0.000
Cs 0.500 0.000 0.750
Cs 0.000 0.250 0.500
Cs 0.000 0.750 0.500
Ag 0.500 0.250 0.000
Ag 0.000 0.500 0.750
Ag 0.250 0.000 0.500
Ag 0.500 0.750 0.000
Ag 0.000 0.500 0.250
Ag 0.750 0.000 0.500

Output
Energy relative to the elements: 0.21 eV/atom
Crystal system: cubic
Magnetization: 0.07 μB per atom
VASP energy: -0.112 Ry per atom


[14]
Ag2Au | PBE | optimized geometry

Unit cell a=4.526 b=4.526 c=4.526 alpha=60.00 beta=60.00 gamma=60.00
Atoms (fractional coordinates):
Ag 0.750 0.750 0.750
Ag 0.250 0.250 0.250
Au 0.000 0.000 0.000

Output
Energy relative to the elements: 0.21 eV/atom
Crystal system: cubic
Magnetization: 0.00 μB per atom
ΔE to the lowest computed polymorph: 247 meV per atom
VASP energy: -0.205 Ry per atom


[15]
ZrCr2Os | PBE | optimized geometry

Unit cell a=4.346 b=4.346 c=4.346 alpha=60.00 beta=60.00 gamma=60.00
Atoms (fractional coordinates):
Cr 0.750 0.750 0.750
Cr 0.250 0.250 0.250
Os 0.500 0.500 0.500
Zr 0.000 0.000 0.000

Output
Energy relative to the elements: 0.06 eV/atom
Crystal system: cubic
Magnetization: 0.00 μB per atom
ΔE to the lowest computed polymorph: 5 meV per atom
VASP energy: -0.713 Ry per atom


[16]
LuThMn | PBE | optimized geometry

Unit cell a=3.365 b=3.365 c=6.709 alpha=104.52 beta=104.52 gamma=90.00
Atoms (fractional coordinates):
Mn 0.664 0.664 0.329
Th 0.037 0.037 0.073
Lu 0.299 0.299 0.598

Output
Energy relative to the elements: 0.16 eV/atom
Crystal system: tetragonal
Magnetization: 0.00 μB per atom
VASP energy: -0.505 Ry per atom


[17]
Ba2Al7Cd | PBE | optimized geometry

Unit cell a=4.604 b=4.604 c=11.447 alpha=90.00 beta=90.00 gamma=90.00
Atoms (fractional coordinates):
Al 0.500 0.000 0.135
Al 0.000 0.000 0.000
Al 0.000 0.500 0.630
Al 0.000 0.000 0.500
Al 0.500 0.000 0.370
Al 0.000 0.500 0.865
Al 0.500 0.500 0.500
Ba 0.000 0.500 0.255
Ba 0.500 0.000 0.745
Cd 0.500 0.500 0.000

Output
Energy relative to the elements: -0.23 eV/atom
Crystal system: tetragonal
Magnetization: 0.00 μB per atom
VASP energy: -0.245 Ry per atom


[18]
KSiAs2S | PBE | optimized geometry

Unit cell a=4.674 b=6.420 c=4.674 alpha=90.00 beta=90.00 gamma=90.00
Atoms (fractional coordinates):
Si 0.000 0.000 0.000
As 0.500 0.000 0.000
As 0.000 0.000 0.500
S 0.500 0.500 0.500
K 0.000 0.500 0.000

Output
Crystal system: tetragonal
Magnetization: 0.00 μB per atom
ΔE_f (raw): 0.487 eV/atom
VASP energy: -0.257 Ry per atom


[19]
Mg2ReIr | PBE | optimized geometry

Unit cell a=4.847 b=4.847 c=4.979 alpha=81.96 beta=81.96 gamma=33.84
Atoms (fractional coordinates):
Ir 0.754 0.754 0.715
Re 0.491 0.491 0.533
Mg 0.245 0.245 0.242
Mg 0.010 0.010 0.010

Output
Energy relative to the elements: 0.06 eV/atom
Crystal system: monoclinic
Magnetization: 0.00 μB per atom
ΔE to the lowest computed polymorph: 146 meV per atom
VASP energy: -0.446 Ry per atom


[20]
LiNi6P | PBE | optimized geometry

Unit cell a=3.631 b=3.631 c=6.875 alpha=105.32 beta=105.32 gamma=89.98
Site moments in Bohr magnetons follow the coordinates.
Atoms (fractional coordinates):
Ni 0.115 0.615 0.230  0.03
Ni 0.885 0.385 0.770  0.03
Ni 0.615 0.115 0.230  0.03
Ni 0.249 0.249 0.499  0.15
Ni 0.385 0.885 0.770  0.03
Ni 0.751 0.751 0.501  0.15
P 0.000 0.000 0.000  0.00
Li 0.500 0.500 0.000  0.00

Output
Energy relative to the elements: -0.22 eV/atom
Crystal system: tetragonal
Magnetization: 0.05 μB per atom
VASP energy: -0.402 Ry per atom


[21]
LiNdSm2S5 | PBE | optimized geometry

Unit cell a=3.993 b=8.536 c=11.979 alpha=90.00 beta=90.00 gamma=103.53
Atoms (fractional coordinates):
Sm 0.891 0.782 0.184
Sm 0.879 0.759 0.795
Sm 0.109 0.218 0.684
Sm 0.121 0.241 0.295
S 0.498 0.996 0.286
S 0.691 0.383 0.835
S 0.957 0.914 0.575
S 0.043 0.086 0.075
S 0.309 0.617 0.335
S 0.635 0.270 0.500
S 0.365 0.730 0.000
S 0.710 0.419 0.165
S 0.502 0.004 0.786
S 0.290 0.581 0.665
Nd 0.804 0.608 0.499
Nd 0.196 0.392 0.999
Li 0.512 0.023 0.984
Li 0.488 0.977 0.484

Output
Crystal system: orthorhombic
Magnetization: 0.00 μB per atom
ΔE_f (raw): -1.867 eV/atom
VASP energy: -0.437 Ry per atom


[22]
BaCd2HgRh | PBE | optimized geometry

Unit cell a=5.299 b=5.299 c=5.746 alpha=90.00 beta=90.00 gamma=90.00
Atoms (fractional coordinates):
Rh 0.000 0.000 0.000
Cd 0.500 0.000 0.000
Cd 0.000 0.500 0.000
Ba 0.000 0.000 0.500
Hg 0.500 0.500 0.500

Output
Energy relative to the elements: -0.15 eV/atom
Crystal system: tetragonal
Magnetization: 0.00 μB per atom
ΔE to the lowest computed polymorph: 107 meV per atom
VASP energy: -0.179 Ry per atom


[23]
YSeBr2 | PBE | optimized geometry

Unit cell a=10.005 b=10.005 c=10.005 alpha=21.54 beta=21.54 gamma=21.54
Atoms (fractional coordinates):
Y 0.750 0.750 0.750
Br 0.479 0.479 0.479
Br 0.021 0.021 0.021
Se 0.250 0.250 0.250

Output
Crystal system: trigonal
Magnetization: 0.00 μB per atom
ΔE_f (raw): -0.811 eV/atom
ΔE to the lowest computed polymorph: 555 meV per atom
VASP energy: -0.304 Ry per atom


[24]
Sr2ZnSnSe5 | PBE | optimized geometry

Unit cell a=4.135 b=9.393 c=12.950 alpha=90.00 beta=90.00 gamma=102.72
Atoms (fractional coordinates):
Se 0.636 0.272 0.498
Se 0.728 0.457 0.174
Se 0.499 0.998 0.777
Se 0.297 0.595 0.382
Se 0.501 0.002 0.277
Se 0.068 0.136 0.045
Se 0.364 0.728 0.998
Se 0.703 0.405 0.882
Se 0.272 0.543 0.674
Se 0.932 0.864 0.545
Zn 0.435 0.870 0.438
Zn 0.565 0.130 0.938
Sr 0.902 0.804 0.173
Sr 0.098 0.196 0.673
Sr 0.875 0.750 0.809
Sr 0.125 0.250 0.309
Sn 0.219 0.439 0.027
Sn 0.781 0.561 0.527

Output
Crystal system: orthorhombic
Magnetization: 0.00 μB per atom
ΔE_f (raw): -1.149 eV/atom
VASP energy: -0.297 Ry per atom


[25]
Dy3PaSb4 | PBE | optimized geometry

Unit cell a=4.377 b=7.583 c=7.583 alpha=109.37 beta=90.00 gamma=90.00
Site moments in Bohr magnetons follow the coordinates.
Atoms (fractional coordinates):
Sb 0.500 0.751 0.249  -0.01
Sb 0.000 0.250 0.250  -0.01
Sb 0.500 0.249 0.751  -0.01
Sb 0.000 0.750 0.750  -0.01
Dy 0.000 0.500 0.000  0.01
Dy 0.000 0.000 0.500  0.01
Dy 0.500 0.500 0.500  0.02
Pa 0.500 0.000 0.000  0.75

Output
Crystal system: orthorhombic
Magnetization: 0.11 μB per atom
ΔE_f (raw): -0.958 eV/atom
VASP energy: -0.436 Ry per atom